1.
First-principles (PBE) data for Na5Cd2Te5 after structural relaxation, as listed in the Alexandria database.

Results
raw formation energy: -7.9 eV per formula unit
space group: I4mm (107)
mass density: 4.007 g/cm³

a = 8.2610 Å, b = 8.2610 Å, c = 8.2610 Å
α = 101.75°, β = 101.75°, γ = 126.35°
With the nearest neighbours (Å) after each atom.
Positions (direct):
Na 0.0000 0.0000 0.0000  5 Te 3.10-3.19
Na 0.2575 0.2575 0.5967  5 Te 3.12-3.38
Na 0.2575 0.6608 0.0000  5 Te 3.12-3.38
Na 0.6608 0.2575 0.0000  5 Te 3.12-3.38
Na 0.6608 0.6608 0.4033  5 Te 3.12-3.38
Cd 0.3771 0.8771 0.5000  4 Te 2.86
Cd 0.8771 0.3771 0.5000  4 Te 2.86
Te 0.1277 0.4198 0.2921  2 Cd 2.86, 1 Na 3.19
Te 0.1277 0.8356 0.7079  2 Cd 2.86, 1 Na 3.19
Te 0.4198 0.1277 0.2921  2 Cd 2.86, 1 Na 3.19
Te 0.5842 0.5842 0.0000  5 Na 3.10-3.12
Te 0.8356 0.1277 0.7079  2 Cd 2.86, 1 Na 3.19

---

2.
First-principles (PBE) data for NaCdTe3 after structural relaxation, as listed in the Alexandria database.

Results
raw formation energy: 0.4 eV per formula unit
space group: Pm-3m (221)
mass density: 4.678 g/cm³

a = 5.6872 Å, b = 5.6872 Å, c = 5.6872 Å
α = 90.00°, β = 90.00°, γ = 90.00°
With the nearest neighbours (Å) after each atom.
Positions (direct):
Na 0.0000 0.0000 0.0000  12 Te 4.02
Cd 0.5000 0.5000 0.5000  6 Te 2.84
Te 0.0000 0.5000 0.5000  2 Cd 2.84
Te 0.5000 0.0000 0.5000  2 Cd 2.84
Te 0.5000 0.5000 0.0000  2 Cd 2.84

---

3.
First-principles (PBE) data for NaCd3Te after structural relaxation, as listed in the Alexandria database.

Results
raw formation energy: 1.3 eV per formula unit
space group: Pm-3m (221)
mass density: 3.932 g/cm³

a = 5.9061 Å, b = 5.9061 Å, c = 5.9061 Å
α = 90.00°, β = 90.00°, γ = 90.00°
With the nearest neighbours (Å) after each atom.
Positions (direct):
Na 0.0000 0.0000 0.0000  12 Cd 4.18
Cd 0.0000 0.5000 0.5000  2 Te 2.95
Cd 0.5000 0.0000 0.5000  2 Te 2.95
Cd 0.5000 0.5000 0.0000  2 Te 2.95
Te 0.5000 0.5000 0.5000  6 Cd 2.95

---

4.
First-principles (PBE) data for NaCdTe2 after structural relaxation, as listed in the Alexandria database.

Results
raw formation energy: -1.6 eV per formula unit
space group: R3m (160)
mass density: 5.353 g/cm³

a = 4.1263 Å, b = 4.1263 Å, c = 24.6512 Å
α = 90.00°, β = 90.00°, γ = 120.00°
With the nearest neighbours (Å) after each atom.
Positions (direct):
Na 0.0000 0.0000 0.0000  6 Te 3.29-3.30
Na 0.3333 0.6667 0.6667  6 Te 3.29-3.30
Na 0.6667 0.3333 0.3333  6 Te 3.29-3.30
Cd 0.0000 0.0000 0.8335  6 Te 3.01
Cd 0.3333 0.6667 0.5002  6 Te 3.01
Cd 0.6667 0.3333 0.1668  6 Te 3.01
Te 0.0000 0.0000 0.2413  3 Cd 3.01, 3 Na 3.29
Te 0.0000 0.0000 0.4258  3 Cd 3.01, 3 Na 3.30
Te 0.3333 0.6667 0.0924  3 Cd 3.01, 3 Na 3.30
Te 0.3333 0.6667 0.9080  3 Cd 3.01, 3 Na 3.29
Te 0.6667 0.3333 0.5747  3 Cd 3.01, 3 Na 3.29
Te 0.6667 0.3333 0.7591  3 Cd 3.01, 3 Na 3.30

---

5.
First-principles (PBE) data for NaCd2Te2 after structural relaxation, as listed in the Alexandria database.

Results
raw formation energy: -1.7 eV per formula unit
space group: P4/mbm (127)
mass density: 5.778 g/cm³

a = 8.3584 Å, b = 8.3584 Å, c = 4.1386 Å
α = 90.00°, β = 90.00°, γ = 90.00°
With the nearest neighbours (Å) after each atom.
Positions (direct):
Na 0.0000 0.0000 0.0000  4 Te 3.07
Na 0.5000 0.5000 0.0000  4 Te 3.07
Cd 0.1304 0.3696 0.5000  6 Te 3.06-3.34, 1 Cd 3.08
Cd 0.3696 0.8696 0.5000  6 Te 3.06-3.34, 1 Cd 3.08
Cd 0.6304 0.1304 0.5000  6 Te 3.06-3.34, 1 Cd 3.08
Cd 0.8696 0.6304 0.5000  6 Te 3.06-3.34, 1 Cd 3.08
Te 0.1792 0.6792 0.0000  6 Cd 3.06-3.34, 2 Na 3.07
Te 0.3208 0.1792 0.0000  6 Cd 3.06-3.34, 2 Na 3.07
Te 0.6792 0.8208 0.0000  6 Cd 3.06-3.34, 2 Na 3.07
Te 0.8208 0.3208 0.0000  6 Cd 3.06-3.34, 2 Na 3.07

---

6.
First-principles (PBE) data for NaCd3Te after structural relaxation, as listed in the Alexandria database.

Results
raw formation energy: 2.1 eV per formula unit
space group: Pm-3m (221)
mass density: 4.898 g/cm³

a = 5.4889 Å, b = 5.4889 Å, c = 5.4889 Å
α = 90.00°, β = 90.00°, γ = 90.00°
With the nearest neighbours (Å) after each atom.
Positions (direct):
Na 0.0000 0.0000 0.0000  6 Cd 2.74
Cd 0.0000 0.0000 0.5000  2 Na 2.74
Cd 0.0000 0.5000 0.0000  2 Na 2.74
Cd 0.5000 0.0000 0.0000  2 Na 2.74
Te 0.5000 0.5000 0.5000  12 Cd 3.88